BaBiO4: relaxed, PBE.

## Properties
For the formation energy (no corrections), the calculation gives -1.098 eV per atom. As for the space group: P4/mmm. Its total moment is 1.27 μB per formula unit.

Cell: 3.8521 3.8521 6.4538 Å, 90.00 90.00 90.00°
Last column: magnetic moment on the atom in μB.
Positions (direct):
Bi: 0.5000 0.5000 0.5000  -0.03
O: 0.0000 0.5000 0.2982  0.28
O: 0.5000 0.0000 0.2982  0.28
O: 0.0000 0.5000 0.7018  0.28
O: 0.5000 0.0000 0.7018  0.28
Ba: 0.0000 0.0000 0.0000  0.00

=====

Ba12Bi3O5: relaxed, PBE.

## Properties
For the formation energy (no corrections), the calculation gives -1.501 eV per atom. As for the space group: Ia-3d. Its total moment is 4.07 μB per formula unit.

Cell: 15.6719 15.6719 15.6719 Å, 109.47 109.47 109.47°
Last column: magnetic moment on the atom in μB.
Positions (direct):
Ba: 0.0107 0.6124 0.6969  0.09
Ba: 0.6124 0.6017 0.9155  0.09
O: 0.5000 0.5000 0.0000  0.00
Ba: 0.1862 0.1017 0.9893  0.09
Ba: 0.3876 0.3983 0.0845  0.09
Ba: 0.8983 0.0845 0.8876  0.09
Ba: 0.3983 0.3876 0.5845  0.09
Ba: 0.0845 0.1862 0.1969  0.09
Ba: 0.6862 0.1969 0.5845  0.09
Ba: 0.6862 0.4893 0.6017  0.09
O: 0.0000 0.5000 0.0000  0.00
O: 0.7500 0.6250 0.3750  0.01
Ba: 0.3138 0.5107 0.3983  0.09
Bi: 0.1250 0.8750 0.7500  -0.03
Ba: 0.5107 0.1969 0.1124  0.09
Bi: 0.2500 0.1250 0.3750  -0.03
Ba: 0.1017 0.1862 0.4893  0.09
O: 0.6250 0.7500 0.8750  0.01
Ba: 0.9893 0.6017 0.1862  0.09
Ba: 0.3876 0.9893 0.8031  0.09
Bi: 0.7500 0.3750 0.1250  -0.03
O: 0.3750 0.1250 0.7500  0.01
Ba: 0.0107 0.3983 0.8138  0.09
Ba: 0.3138 0.8031 0.4155  0.09
Ba: 0.8031 0.3138 0.9155  0.09
Ba: 0.1017 0.9155 0.1124  0.09
O: 0.2500 0.8750 0.1250  0.01
Bi: 0.2500 0.6250 0.8750  -0.03
Ba: 0.3031 0.4155 0.8138  0.09
O: 0.8750 0.2500 0.6250  0.01
O: 0.7500 0.1250 0.8750  0.01
O: 0.3750 0.2500 0.1250  0.01
O: 0.1250 0.7500 0.3750  0.01
Bi: 0.3750 0.6250 0.2500  -0.03
Ba: 0.6017 0.6124 0.4155  0.09
O: 0.0000 0.0000 0.5000  0.00
Ba: 0.3031 0.8876 0.9893  0.09
Ba: 0.8138 0.8983 0.0107  0.09
Ba: 0.6969 0.5845 0.1862  0.09
Ba: 0.8876 0.5845 0.8983  0.09
Ba: 0.6017 0.9893 0.6862  0.09
Ba: 0.1124 0.6969 0.5107  0.09
O: 0.0000 0.0000 0.0000  0.00
Ba: 0.5845 0.8876 0.3983  0.09
Bi: 0.1250 0.2500 0.8750  -0.03
Ba: 0.6969 0.1124 0.0107  0.09
Ba: 0.1969 0.5107 0.6124  0.09
Bi: 0.8750 0.7500 0.1250  -0.03
Ba: 0.5845 0.6969 0.6862  0.09
O: 0.5000 0.0000 0.0000  0.00
Ba: 0.4155 0.1124 0.6017  0.09
O: 0.5000 0.5000 0.5000  0.00
Bi: 0.6250 0.3750 0.7500  -0.03
Ba: 0.0845 0.8983 0.3876  0.09
Ba: 0.9893 0.3876 0.3031  0.09
O: 0.1250 0.3750 0.2500  0.01
Ba: 0.6124 0.0107 0.1969  0.09
O: 0.0000 0.5000 0.5000  0.00
Bi: 0.6250 0.2500 0.3750  -0.03
Ba: 0.4155 0.3031 0.3138  0.09
Ba: 0.8138 0.9155 0.3031  0.09
Bi: 0.7500 0.8750 0.6250  -0.03
Ba: 0.9155 0.1017 0.6124  0.09
O: 0.2500 0.3750 0.6250  0.01
Ba: 0.9155 0.8138 0.8031  0.09
Ba: 0.8983 0.8138 0.5107  0.09
Ba: 0.4893 0.6862 0.1017  0.09
Bi: 0.8750 0.1250 0.2500  -0.03
O: 0.8750 0.6250 0.7500  0.01
Ba: 0.1862 0.0845 0.6969  0.09
Ba: 0.4893 0.8031 0.8876  0.09
Ba: 0.5107 0.3138 0.8983  0.09
Ba: 0.3983 0.0107 0.3138  0.09
Ba: 0.1124 0.4155 0.1017  0.09
O: 0.5000 0.0000 0.5000  0.00
Bi: 0.3750 0.7500 0.6250  -0.03
Ba: 0.1969 0.6862 0.0845  0.09
O: 0.6250 0.8750 0.2500  0.01
Ba: 0.8031 0.4893 0.3876  0.09
Ba: 0.8876 0.3031 0.4893  0.09

=====

Ba2BiO: relaxed, PBE.

## Properties
For the formation energy (no corrections), the calculation gives -1.474 eV per atom. As for the space group: R-3m. Its total moment is 0.00 μB per formula unit.

Cell: 4.1709 4.1709 8.7186 Å, 76.16 76.16 60.00°
Positions (direct):
Ba: 0.7722 0.7722 0.6833
O: 0.5000 0.5000 0.5000
Bi: 0.0000 0.0000 0.0000
Ba: 0.2278 0.2278 0.3167

=====

BaBi7O12: relaxed, PBE.

## Properties
For the formation energy (no corrections), the calculation gives -1.222 eV per atom. As for the space group: Im-3. Its total moment is 0.00 μB per formula unit.

Cell: 7.6262 7.6262 7.6262 Å, 109.47 109.47 109.47°
Positions (direct):
O: 0.3052 0.8189 0.1241
O: 0.8759 0.6948 0.1811
O: 0.6948 0.1811 0.8759
Bi: 0.5000 0.0000 0.0000
O: 0.1241 0.3052 0.8189
O: 0.1811 0.4863 0.3052
O: 0.8189 0.1241 0.3052
Ba: 0.0000 0.0000 0.0000
Bi: 0.0000 0.0000 0.5000
O: 0.8189 0.5137 0.6948
O: 0.4863 0.3052 0.1811
Bi: 0.0000 0.5000 0.5000
Bi: 0.5000 0.0000 0.5000
O: 0.3052 0.1811 0.4863
O: 0.1811 0.8759 0.6948
Bi: 0.0000 0.5000 0.0000
Bi: 0.5000 0.5000 0.0000
O: 0.5137 0.6948 0.8189
O: 0.6948 0.8189 0.5137
Bi: 0.5000 0.5000 0.5000

=====

BaBi4O8: relaxed, PBE.

## Properties
For the formation energy (no corrections), the calculation gives -1.217 eV per atom. As for the space group: R-3m. Its total moment is 0.82 μB per formula unit.

Cell: 7.1177 7.1177 7.6681 Å, 62.35 62.35 60.00°
Last column: magnetic moment on the atom in μB.
Positions (direct):
O: 0.2359 0.2359 0.8163  0.06
Ba: 0.5000 0.5000 0.5000  0.00
O: 0.7218 0.7218 0.8345  0.12
O: 0.2782 0.2782 0.1655  0.12
Bi: 0.0000 0.5000 0.0000  0.03
Bi: 0.5000 0.5000 0.0000  0.03
Bi: 0.0000 0.0000 0.0000  -0.01
O: 0.7641 0.7641 0.1837  0.06
O: 0.7641 0.2881 0.1837  0.06
O: 0.7119 0.2359 0.8163  0.06
O: 0.2359 0.7119 0.8163  0.06
O: 0.2881 0.7641 0.1837  0.06
Bi: 0.5000 0.0000 0.0000  0.03

=====

BaBiO: relaxed, PBE.

## Properties
For the formation energy (no corrections), the calculation gives -1.517 eV per atom. As for the space group: P4mm. Its total moment is 0.00 μB per formula unit.

Cell: 3.9240 3.9336 11.2079 Å, 90.00 110.48 90.00°
Positions (direct):
O: 0.9506 0.7165 0.7853
O: 0.6717 0.2167 0.0069
Bi: 0.9837 0.2154 0.3189
Bi: 0.6405 0.7155 0.4750
Ba: 0.4266 0.2165 0.7614
Ba: 0.1964 0.7165 0.0311

=====

The lowest formation energy (no corrections) belongs to which entry? BaBiO

=====

What did the fourth record say?
BaBi7O12: relaxed, PBE.

## Properties
For the formation energy (no corrections), the calculation gives -1.222 eV per atom. As for the space group: Im-3. Its total moment is 0.00 μB per formula unit.

Cell: 7.6262 7.6262 7.6262 Å, 109.47 109.47 109.47°
Positions (direct):
O: 0.3052 0.8189 0.1241
O: 0.8759 0.6948 0.1811
O: 0.6948 0.1811 0.8759
Bi: 0.5000 0.0000 0.0000
O: 0.1241 0.3052 0.8189
O: 0.1811 0.4863 0.3052
O: 0.8189 0.1241 0.3052
Ba: 0.0000 0.0000 0.0000
Bi: 0.0000 0.0000 0.5000
O: 0.8189 0.5137 0.6948
O: 0.4863 0.3052 0.1811
Bi: 0.0000 0.5000 0.5000
Bi: 0.5000 0.0000 0.5000
O: 0.3052 0.1811 0.4863
O: 0.1811 0.8759 0.6948
Bi: 0.0000 0.5000 0.0000
Bi: 0.5000 0.5000 0.0000
O: 0.5137 0.6948 0.8189
O: 0.6948 0.8189 0.5137
Bi: 0.5000 0.5000 0.5000